Version P
Computed, not measured: a geometry-optimized Ca2HoIn structure at the PBE-GGA level of DFT.

Lattice parameters (Å, degrees): 4.1727 4.1727 7.3116 90.00 90.00 90.00
Closest atoms and distances in Å follow each position.
Space group P4/mmm (No. 123)
Symmetry-distinct sites (fractional):
Ca  0.0000  0.0000  0.2341  4 In 3.41, 1 Ca 3.42, 4 Ho 3.53
Ho  0.5000  0.5000  0.5000  8 Ca 3.53, 2 In 3.66
In  0.5000  0.5000  0.0000  8 Ca 3.41, 2 Ho 3.66

Summary:
The total magnetic moment comes out at 0.0 μB/f.u.



Version Q
Computed, not measured: a geometry-optimized Ca2HoIn structure at the PBE-GGA level of DFT.

Lattice parameters (Å, degrees): 3.6217 3.6217 37.6703 90.00 90.00 120.00
Closest atoms and distances in Å follow each position.
Space group R-3m (No. 166, hexagonal axes)
Symmetry-distinct sites (fractional):
Ca  0.0000  0.0000  0.0868  1 In 3.27, 6 Ca 3.62, 3 Ho 3.66
Ho  0.0000  0.0000  0.5000  6 Ho 3.62, 6 Ca 3.66
In  0.0000  0.0000  0.0000  2 Ca 3.27, 6 In 3.62

Summary:
The total magnetic moment comes out at 0.0 μB/f.u.



Version R
Computed, not measured: a geometry-optimized Ca2HoIn structure at the PBE-GGA level of DFT.

Lattice parameters (Å, degrees): 3.6732 3.6732 34.0951 90.00 90.00 120.00
Closest atoms and distances in Å follow each position.
Space group R3m (No. 160, hexagonal axes)
Symmetry-distinct sites (fractional):
Ca  0.0000  0.0000  0.0000  3 In 3.35, 6 Ca 3.67
Ca  0.0000  0.0000  0.1813  3 In 3.35, 6 Ca 3.67, 3 Ho 3.73
Ho  0.0000  0.0000  0.4247  6 Ho 3.67, 6 Ca 3.73-3.77
In  0.0000  0.0000  0.5906  6 Ca 3.35, 6 In 3.67

Summary:
The total magnetic moment comes out at 0.7 μB/f.u.



Version S
Computed, not measured: a geometry-optimized Ca2HoIn structure at the PBE-GGA level of DFT.

Lattice parameters (Å, degrees): 4.8450 4.8450 5.2283 90.00 90.00 90.00
Closest atoms and distances in Å follow each position.
Space group P4/mmm (No. 123)
Symmetry-distinct sites (fractional):
Ca  0.0000  0.5000  0.0000  4 Ca 3.43, 4 In 3.56, 4 Ho 3.56
Ho  0.0000  0.0000  0.5000  4 In 3.43, 8 Ca 3.56
In  0.5000  0.5000  0.5000  4 Ho 3.43, 8 Ca 3.56

Summary:
The total magnetic moment comes out at 0.0 μB/f.u.



Best to worst by energy: version S, version P, version R, version Q.